VASP calculation (GGA-PBE) on a relaxed structure of Hf2NbB2.

a = 3.425 Å, b = 5.058 Å, c = 5.058 Å
α = 61.97°, β = 70.21°, γ = 70.21°
Fractional positions:
Hf 0.204 0.296 0.296
Hf 0.796 0.704 0.704
Nb 0.000 0.000 0.000
B 0.500 0.325 0.675
B 0.500 0.675 0.325

VASP calculation (GGA-PBE) on a relaxed structure of HfNbB2.

a = 4.161 Å, b = 4.161 Å, c = 4.161 Å
α = 60.00°, β = 60.00°, γ = 60.00°
Fractional positions:
Nb 0.000 0.000 0.000
B 0.250 0.250 0.250
B 0.750 0.750 0.750
Hf 0.500 0.500 0.500

Number 1: theoretical density 11.0 g/cm3, formation energy from the elements -0.514 eV per atom. Number 2: theoretical density 9.5 g/cm3, formation energy from the elements 0.198 eV per atom.